*a*
PBrCl4, relaxed, DFT PBE-GGA; magnetization = 2.21 Bohr magnetons per cell; N(E_F) = 8.66 states/eV per cell
1.0
-4.326 -3.389 1.879
-0.523 -1.168 5.665
-4.376 2.300 3.048
Cl P Br
4 1 1
Direct
0.376 0.376 0.376
0.376 0.376 0.873
0.376 0.873 0.376
0.873 0.376 0.376
0.750 0.750 0.750
0.000 0.000 0.000

---

*b*
PBrCl4, relaxed, DFT PBE-GGA; magnetization = 0.25 Bohr magnetons per cell
1.0
-6.001 -1.525 -3.039
-3.564 -5.225 2.753
-6.147 8.375 7.939
Cl P Br
8 2 2
Direct
0.202 0.202 0.872
0.814 0.372 0.250
0.628 0.186 0.750
0.798 0.798 0.128
0.202 0.202 0.628
0.798 0.798 0.372
0.372 0.814 0.250
0.186 0.627 0.750
0.693 0.693 0.250
0.307 0.307 0.750
0.000 0.000 0.000
0.000 0.000 0.500

---

Which structure above is the least stable one? *a* is the least stable one.